Mn2VNi3P6O24: PBEsol geometry, SCAN.

a = 8.2961 Å, b = 8.2961 Å, c = 8.2961 Å
α = 61.24°, β = 61.24°, γ = 61.24°
Last column: nearest neighbours and their distance in Å.
Positions (direct):
P: 0.7486 0.4612 0.0399  4 O 1.50-1.60
O: 0.6141 0.0080 0.8205  1 P 1.51
O: 0.3788 0.0174 0.1718  1 P 1.57
O: 0.4810 0.8826 0.6923  1 P 1.50
O: 0.7571 0.4088 0.5400  1 P 1.55
Mn: 0.4986 0.4986 0.4986  6 O 2.05-2.06
P: 0.2507 0.5442 0.9577  4 O 1.50-1.57
P: 0.0399 0.7486 0.4612  4 O 1.50-1.60
O: 0.0080 0.8205 0.6141  1 P 1.51
O: 0.1130 0.3199 0.5084  1 P 1.50
O: 0.9373 0.0894 0.7456  1 P 1.55
O: 0.4088 0.5400 0.7571  1 P 1.55
O: 0.7456 0.9373 0.0894  1 P 1.55
O: 0.4467 0.2453 0.5853  1 P 1.58
O: 0.5084 0.1130 0.3199  1 P 1.50
O: 0.6923 0.4810 0.8826  1 P 1.50
O: 0.3199 0.5084 0.1130  1 P 1.50
O: 0.8205 0.6141 0.0080  1 P 1.51
P: 0.5442 0.9577 0.2507  4 O 1.50-1.57
P: 0.9577 0.2507 0.5442  4 O 1.50-1.57
O: 0.5853 0.4467 0.2453  1 P 1.58
O: 0.9104 0.2519 0.0745  1 P 1.60
O: 0.5400 0.7571 0.4088  1 P 1.55
Ni: 0.8580 0.8580 0.8580  6 O 1.88-1.97
Ni: 0.3589 0.3589 0.3589  6 O 1.90-1.97
O: 0.0894 0.7456 0.9373  1 P 1.55
O: 0.2519 0.0745 0.9104  1 P 1.60
V: 0.1432 0.1432 0.1432  6 O 1.79-1.94
P: 0.4612 0.0399 0.7486  4 O 1.50-1.60
Ni: 0.6397 0.6397 0.6397  6 O 1.93-2.06
Mn: 0.9993 0.9993 0.9993  6 O 2.10-2.16
O: 0.2453 0.5853 0.4467  1 P 1.58
O: 0.0745 0.9104 0.2519  1 P 1.60
O: 0.8826 0.6923 0.4810  1 P 1.50
O: 0.1718 0.3788 0.0174  1 P 1.57
O: 0.0174 0.1718 0.3788  1 P 1.57

- total energy (eV/atom) = -10.8644
- N(E_F) (states/eV/f.u.) = 10.145
- formation energy without anion corrections (eV per formula unit) = -76.657
- mass density (g cm⁻³) = 3.6